Record 1
A plane-wave DFT calculation with PBE was carried out for a relaxed Zr2CdIn2 crystal.

Calculated values
The excess energy over the best structure of this formula in the dataset comes out at 66 meV/atom.

a b c (Å): 7.4028 7.4028 7.4028
angles (deg): 145.57 145.57 49.49
Last column: nearest neighbours and their distance in Å.
Positions (direct):
Zr (0.2500, 0.7500, 0.5000)  4 In 2.98, 4 Zr 3.10
Zr (0.7500, 0.2500, 0.5000)  4 In 2.98, 4 Zr 3.10
Cd (0.0000, 0.0000, 0.0000)  8 In 3.38
In (0.4004, 0.4004, 0.0000)  1 In 2.68, 4 Zr 2.98
In (0.5996, 0.5996, 0.0000)  1 In 2.68, 4 Zr 2.98



Record 2
A plane-wave DFT calculation with PBE was carried out for a relaxed RbZrNO crystal.

Calculated values
The excess energy over the best structure of this formula in the dataset comes out at 255 meV/atom.

a b c (Å): 6.4327 8.7366 6.0907
angles (deg): 90.00 90.00 90.00
Last column: nearest neighbours and their distance in Å.
Positions (direct):
Rb (0.0611, 0.1265, 0.0000)  3 N 2.92-3.01, 1 O 3.01
Rb (0.4389, 0.1265, 0.5000)  3 N 2.92-3.01, 1 O 3.01
Rb (0.5611, 0.8735, 0.0000)  3 N 2.92-3.01, 1 O 3.01
Rb (0.9389, 0.8735, 0.5000)  3 N 2.92-3.01, 1 O 3.01
Zr (0.0981, 0.5982, 0.9576)  1 N 1.85
Zr (0.4019, 0.5982, 0.4576)  1 N 1.85
Zr (0.5981, 0.4018, 0.9576)  1 N 1.85
Zr (0.9019, 0.4018, 0.4576)  1 N 1.85
N (0.0097, 0.7946, 0.0252)  1 Zr 1.85
N (0.4903, 0.7946, 0.5252)  1 Zr 1.85
N (0.5097, 0.2054, 0.0252)  1 Zr 1.85
N (0.9903, 0.2054, 0.5252)  1 Zr 1.85
O (0.1091, 0.5620, 0.6105)  3 Zr 2.12-2.14
O (0.3909, 0.5620, 0.1105)  3 Zr 2.12-2.14
O (0.6091, 0.4380, 0.6105)  3 Zr 2.12-2.14
O (0.8909, 0.4380, 0.1105)  3 Zr 2.12-2.14



Record 3
A plane-wave DFT calculation with PBE was carried out for a relaxed LaYNb crystal.

Calculated values
Its formation energy is 0.77 eV per atom. The excess energy over the best structure of this formula in the dataset comes out at 0 meV/atom.

a b c (Å): 5.1137 5.1137 5.1137
angles (deg): 60.00 60.00 60.00
Last column: nearest neighbours and their distance in Å.
Positions (direct):
La (0.0000, 0.0000, 0.0000)  4 Nb 3.13
Y (0.5000, 0.5000, 0.5000)  4 Nb 3.13
Nb (0.2500, 0.2500, 0.2500)  4 Y 3.13, 4 La 3.13



Record 4
A plane-wave DFT calculation with PBE was carried out for a relaxed LaGdMg crystal.

Calculated values
The excess energy over the best structure of this formula in the dataset comes out at 0 meV/atom.

a b c (Å): 5.3654 5.3654 5.3654
angles (deg): 60.00 60.00 60.00
Last column: nearest neighbours and their distance in Å.
Positions (direct):
La (0.0000, 0.0000, 0.0000)  4 Mg 3.29
Gd (0.5000, 0.5000, 0.5000)  4 Mg 3.29
Mg (0.7500, 0.7500, 0.7500)  4 La 3.29, 4 Gd 3.29



Record 5
A plane-wave DFT calculation with PBE was carried out for a relaxed GdErNi2C2N2 crystal.

Calculated values
Its total energy is -60.6 eV for the cell shown.

a b c (Å): 3.4598 3.4598 7.3241
angles (deg): 90.00 90.00 90.00
Last column: nearest neighbours and their distance in Å.
Positions (direct):
Gd (0.0000, 0.0000, 0.0000)  5 N 2.37-2.46
Er (0.5000, 0.5000, 0.6541)  5 N 2.32-2.45
Ni (0.0000, 0.5000, 0.3277)  4 C 2.08-2.11
Ni (0.5000, 0.0000, 0.3277)  4 C 2.08-2.11
C (0.0000, 0.0000, 0.4852)  1 N 1.40
C (0.5000, 0.5000, 0.1635)  1 N 1.41
N (0.0000, 0.0000, 0.6768)  1 C 1.40
N (0.5000, 0.5000, 0.9715)  1 C 1.41



Record 6
A plane-wave DFT calculation with PBE was carried out for a relaxed Y3Tm3CoTe2 crystal.

Calculated values
The excess energy over the best structure of this formula in the dataset comes out at 0 meV/atom.

a b c (Å): 8.2999 8.2999 3.9353
angles (deg): 90.00 90.00 120.00
Last column: nearest neighbours and their distance in Å.
Positions (direct):
Y (0.0000, 0.6035, 0.0000)  4 Te 3.22, 1 Co 3.29, 4 Tm 3.48
Y (0.3965, 0.3965, 0.0000)  4 Te 3.22, 1 Co 3.29, 4 Tm 3.48
Y (0.6035, 0.0000, 0.0000)  4 Te 3.22, 1 Co 3.29, 4 Tm 3.48
Tm (0.0000, 0.2336, 0.5000)  2 Co 2.76
Tm (0.2336, 0.0000, 0.5000)  2 Co 2.76
Tm (0.7664, 0.7664, 0.5000)  2 Co 2.76
Co (0.0000, 0.0000, 0.0000)  6 Tm 2.76
Te (0.3333, 0.6667, 0.5000)  6 Y 3.22, 3 Tm 3.26
Te (0.6667, 0.3333, 0.5000)  6 Y 3.22, 3 Tm 3.26



Record 7
A plane-wave DFT calculation with PBE was carried out for a relaxed AlCo2Pd crystal.

Calculated values
Its total energy is -24.1 eV for the cell shown.

a b c (Å): 4.1591 4.1591 4.1591
angles (deg): 60.00 60.00 60.00
Last column: nearest neighbours and their distance in Å.
Positions (direct):
Al (0.0000, 0.0000, 0.0000)  4 Co 2.55, 4 Pd 2.55
Co (0.5000, 0.5000, 0.5000)  4 Co 2.55, 4 Pd 2.55
Co (0.7500, 0.7500, 0.7500)  4 Co 2.55, 4 Al 2.55
Pd (0.2500, 0.2500, 0.2500)  4 Co 2.55, 4 Al 2.55



Record 8
A plane-wave DFT calculation with PBE was carried out for a relaxed AcHoTl crystal.

Calculated values
The excess energy over the best structure of this formula in the dataset comes out at 496 meV/atom.

a b c (Å): 5.5102 5.5102 5.5102
angles (deg): 60.00 60.00 60.00
Last column: nearest neighbours and their distance in Å.
Positions (direct):
Ac (0.0000, 0.0000, 0.0000)  4 Ho 3.37, 4 Tl 3.37
Ho (0.7500, 0.7500, 0.7500)  4 Ac 3.37
Tl (0.2500, 0.2500, 0.2500)  4 Ac 3.37



Record 9
A plane-wave DFT calculation with PBE was carried out for a relaxed TbTmGa4 crystal.

Calculated values
Its total energy is -24.4 eV for the cell shown.

a b c (Å): 4.3146 7.0132 7.0132
angles (deg): 35.65 90.00 90.00
Last column: nearest neighbours and their distance in Å.
Positions (direct):
Tb (0.0000, 0.0000, 0.0000)  10 Ga 2.97-3.18
Tm (0.0000, 0.3030, 0.3030)  10 Ga 2.93-3.14
Ga (0.0000, 0.6532, 0.6532)  2 Tm 2.93, 2 Tb 2.97, 8 Ga 3.04-3.23
Ga (0.5000, 0.1532, 0.1532)  2 Tm 2.94, 2 Tb 2.97, 8 Ga 3.04-3.22
Ga (0.5000, 0.4735, 0.4735)  6 Ga 2.92-3.23, 4 Tb 3.06, 2 Tm 3.14
Ga (0.5000, 0.8254, 0.8254)  6 Ga 2.92-3.15, 4 Tm 3.06, 2 Tb 3.18



Record 10
A plane-wave DFT calculation with PBE was carried out for a relaxed KBeFe crystal.

Calculated values
The excess energy over the best structure of this formula in the dataset comes out at 72 meV/atom.

a b c (Å): 4.6602 4.6602 4.6602
angles (deg): 60.00 60.00 60.00
Last column: nearest neighbours and their distance in Å.
Positions (direct):
K (0.0000, 0.0000, 0.0000)  4 Fe 2.85
Be (0.5000, 0.5000, 0.5000)  4 Fe 2.85
Fe (0.7500, 0.7500, 0.7500)  4 K 2.85, 4 Be 2.85



Record 11
A plane-wave DFT calculation with PBE was carried out for a relaxed PrNdSi2I2 crystal.

Calculated values
Its total energy is -29.9 eV for the cell shown.

a b c (Å): 4.2025 4.2025 12.6419
angles (deg): 90.00 90.00 120.00
Last column: nearest neighbours and their distance in Å.
Positions (direct):
Pr (0.0000, 0.0000, 0.0000)  6 Si 3.11-3.19, 3 I 3.24
Nd (0.0000, 0.0000, 0.3161)  6 Si 3.09-3.18, 3 I 3.23
Si (0.3333, 0.6667, 0.1643)  3 Si 2.43
Si (0.6667, 0.3333, 0.1541)  3 Si 2.43
I (0.3333, 0.6667, 0.8297)  3 Pr 3.24
I (0.6667, 0.3333, 0.4842)  3 Nd 3.23



Record 12
A plane-wave DFT calculation with PBE was carried out for a relaxed Rb3ThSi crystal.

Calculated values
Its total energy is -7.7 eV for the cell shown.

a b c (Å): 7.3536 7.3536 7.3536
angles (deg): 90.00 90.00 90.00
Last column: nearest neighbours and their distance in Å.
Positions (direct):
Rb (0.0000, 0.0000, 0.5000)  2 Th 3.68
Rb (0.0000, 0.5000, 0.0000)  2 Th 3.68
Rb (0.5000, 0.0000, 0.0000)  2 Th 3.68
Th (0.0000, 0.0000, 0.0000)  6 Rb 3.68
Si (0.5000, 0.5000, 0.5000)  12 Rb 5.20



Number 1: theoretical density 6.7 g/cm³. Number 2: theoretical density 4.0 g/cm³. Number 3: theoretical density 5.6 g/cm³. Number 4: theoretical density 4.9 g/cm³. Number 5: theoretical density 9.4 g/cm³. Number 6: theoretical density 7.7 g/cm³. Number 7: theoretical density 8.2 g/cm³. Number 8: theoretical density 8.4 g/cm³. Number 9: theoretical density 8.1 g/cm³. Number 10: theoretical density 2.4 g/cm³. Number 11: theoretical density 5.1 g/cm³. Number 12: theoretical density 2.2 g/cm³.